(1)
The following is a DFT calculation (PBE) of an optimized crystal structure of MgSc2Hg.

## Properties
energy of formation from the pure elements	-0.73	eV per formula unit
total magnetic moment	1.33	μB/cell
theoretical density	5.78	Mg/m³

a = 3.4669 Å, b = 5.0293 Å, c = 10.3698 Å
α = 90.00°, β = 90.00°, γ = 90.00°
Closest atoms and distances in Å follow each position.
Space group Imm2 (No. 44)
Inequivalent atoms, fractional coordinates:
Mg 0.0000 0.0000 0.0000  2 Hg 2.87, 4 Sc 3.08
Sc 0.0000 0.0000 0.5390  2 Hg 3.03, 4 Mg 3.08, 2 Sc 3.28
Sc 0.0000 0.5000 0.7701  4 Hg 3.06, 2 Sc 3.28, 2 Mg 3.29
Hg 0.0000 0.5000 0.2791  2 Mg 2.87, 6 Sc 3.03-3.06

---

(2)
The following is a DFT calculation (PBE) of an optimized crystal structure of MgScHg6.

## Properties
energy of formation from the pure elements	-1.12	eV per formula unit
total magnetic moment	0.00	μB/cell
theoretical density	11.68	Mg/m³

a = 4.5605 Å, b = 4.5605 Å, c = 8.7035 Å
α = 90.00°, β = 90.00°, γ = 90.00°
Closest atoms and distances in Å follow each position.
Space group P4/mmm (No. 123)
Inequivalent atoms, fractional coordinates:
Mg 0.0000 0.0000 0.0000  12 Hg 3.16-3.22
Sc 0.0000 0.0000 0.5000  12 Hg 3.14-3.22
Hg 0.0000 0.5000 0.2521  8 Hg 3.14-3.22, 2 Sc 3.14, 2 Mg 3.16
Hg 0.5000 0.5000 0.0000  8 Hg 3.16, 4 Mg 3.22
Hg 0.5000 0.5000 0.5000  8 Hg 3.14, 4 Sc 3.22

---

(3)
The following is a DFT calculation (PBE) of an optimized crystal structure of Mg3Sc4Hg.

## Properties
energy of formation from the pure elements	-1.15	eV per formula unit
total magnetic moment	0.00	μB/cell
theoretical density	4.14	Mg/m³

a = 3.5970 Å, b = 3.5970 Å, c = 14.0663 Å
α = 90.00°, β = 90.00°, γ = 90.00°
Closest atoms and distances in Å follow each position.
Space group P4/mmm (No. 123)
Inequivalent atoms, fractional coordinates:
Mg 0.0000 0.0000 0.0000  8 Sc 3.12
Mg 0.0000 0.0000 0.2517  8 Sc 3.08-3.11
Sc 0.5000 0.5000 0.1285  8 Mg 3.08-3.12
Sc 0.5000 0.5000 0.3793  4 Hg 3.06, 4 Mg 3.11, 1 Sc 3.40
Hg 0.0000 0.0000 0.5000  8 Sc 3.06